The following is a DFT calculation (PBE-GGA) of an optimized crystal structure of RbCrBr2.

Unit cell a=7.771 b=7.771 c=7.771 alpha=90.00 beta=90.00 gamma=90.00
Positions (direct):
Rb 0.000 0.000 0.000
Rb 0.000 0.500 0.500
Rb 0.500 0.000 0.500
Rb 0.500 0.500 0.000
Cr 0.000 0.000 0.500
Cr 0.000 0.500 0.000
Cr 0.500 0.000 0.000
Cr 0.500 0.500 0.500
Br 0.250 0.250 0.250
Br 0.250 0.250 0.750
Br 0.250 0.750 0.250
Br 0.250 0.750 0.750
Br 0.750 0.250 0.250
Br 0.750 0.250 0.750
Br 0.750 0.750 0.250
Br 0.750 0.750 0.750

Output
Relative energy among the computed polymorphs (meV/atom): 268
ΔE_f (raw) (eV/atom): -0.515

The following is a DFT calculation (PBE-GGA) of an optimized crystal structure of CoS4.

Unit cell a=6.157 b=3.169 c=8.897 alpha=90.00 beta=97.78 gamma=90.00
Positions (direct):
Co 0.000 0.000 0.000
Co 0.500 0.500 0.000
S 0.208 0.500 0.129
S 0.231 0.000 0.418
S 0.269 0.500 0.582
S 0.292 0.000 0.871
S 0.708 0.000 0.129
S 0.731 0.500 0.418
S 0.769 0.000 0.582
S 0.792 0.500 0.871

Output
Relative energy among the computed polymorphs (meV/atom): 0
ΔE_f (raw) (eV/atom): 0.017

The following is a DFT calculation (PBE-GGA) of an optimized crystal structure of ScHOs2Rh.

Unit cell a=3.889 b=3.889 c=4.205 alpha=90.00 beta=90.00 gamma=90.00
Positions (direct):
Sc 0.000 0.000 0.000
H 0.000 0.000 0.500
Os 0.000 0.500 0.500
Os 0.500 0.000 0.500
Rh 0.500 0.500 0.000

Output
DFT total energy (eV per atom): -8.0227

The following is a DFT calculation (PBE-GGA) of an optimized crystal structure of Li5Cu2O5.

Unit cell a=5.004 b=5.004 c=8.459 alpha=105.51 beta=105.51 gamma=33.90
Positions (direct):
Li 0.000 0.000 0.000
Li 0.152 0.152 0.551
Li 0.236 0.236 0.875
Li 0.764 0.764 0.125
Li 0.848 0.848 0.449
Cu 0.459 0.459 0.717
Cu 0.541 0.541 0.283
O 0.184 0.184 0.318
O 0.389 0.389 0.088
O 0.500 0.500 0.500
O 0.611 0.611 0.912
O 0.816 0.816 0.682

Output
ΔE_f (raw) (eV/atom): -1.262

The following is a DFT calculation (PBE-GGA) of an optimized crystal structure of TlCuRe.

Unit cell a=2.924 b=2.924 c=6.987 alpha=90.00 beta=90.00 gamma=120.00
Positions (direct):
Tl 0.000 0.000 0.000
Cu 0.333 0.667 0.347
Re 0.667 0.333 0.635

Output
Energy of formation from the pure elements (eV per atom): 0.79
Relative energy among the computed polymorphs (meV/atom): 0

The following is a DFT calculation (PBE-GGA) of an optimized crystal structure of LaCePr4.

Unit cell a=3.597 b=5.590 c=10.660 alpha=90.00 beta=99.61 gamma=90.00
Positions (direct):
La 0.000 0.000 0.000
Ce 0.756 0.500 0.510
Pr 0.175 0.000 0.349
Pr 0.412 0.500 0.827
Pr 0.588 0.500 0.175
Pr 0.830 0.000 0.664

Output
Energy of formation from the pure elements (eV per atom): 0.08